CePr2Pb3 (PBE-GGA, relaxed); magnetization = 3.68 Bohr magnetons per cell; ΔE to the lowest computed polymorph = 0.0 meV per atom; uncorrected energy = -4.90 eV per atom
1.0
-5.666 -1.844 -0.027
-1.551 -4.974 7.875
-1.897 5.783 3.279
Pr Pb Ce
4 6 2
Direct
0.000 0.000 0.000 Pr
0.667 0.667 0.500 Pr
0.000 0.000 0.500 Pr
0.333 0.333 0.500 Pr
0.833 0.335 0.751 Pb
0.168 0.665 0.751 Pb
0.167 0.665 0.249 Pb
0.501 0.000 0.749 Pb
0.499 0.000 0.251 Pb
0.832 0.335 0.249 Pb
0.335 0.331 0.000 Ce
0.665 0.669 0.000 Ce

CePr5Pb4 (PBE-GGA, relaxed); magnetization = 1.52 Bohr magnetons per cell; uncorrected energy = -4.83 eV per atom
1.0
5.636 0.000 0.000
0.000 6.809 -2.829
-2.818 -3.531 10.644
Pr Pb Ce
5 4 1
Direct
0.500 0.500 0.000 Pr
0.167 0.326 0.333 Pr
0.166 0.841 0.332 Pr
0.834 0.159 0.668 Pr
0.833 0.674 0.667 Pr
0.325 0.900 0.650 Pb
0.675 0.100 0.350 Pb
0.009 0.266 0.017 Pb
0.991 0.734 0.983 Pb
0.500 0.000 0.000 Ce

Ce5PrPb5 (PBE-GGA, relaxed); magnetization = 3.91 Bohr magnetons per cell; uncorrected energy = -5.00 eV per atom
1.0
-2.880 -0.347 -5.754
5.782 -5.252 1.030
-7.341 -3.514 3.886
Pb Ce Pr
5 5 1
Direct
0.168 0.336 0.340 Pb
0.170 0.339 0.826 Pb
0.830 0.661 0.174 Pb
0.832 0.664 0.660 Pb
0.500 0.000 0.000 Pb
0.667 0.335 0.834 Ce
0.338 0.677 0.665 Ce
0.000 0.000 0.500 Ce
0.662 0.323 0.335 Ce
0.333 0.665 0.166 Ce
0.000 0.000 0.000 Pr

Ce2PrPb (PBE-GGA, relaxed); magnetization = 0.10 Bohr magnetons per cell; ΔE to the lowest computed polymorph = 0.0 meV per atom; uncorrected energy = -5.39 eV per atom
1.0
-1.678 1.485 -4.033
0.023 -4.180 -1.548
-10.124 -2.133 5.612
Ce Pb Pr
4 2 2
Direct
0.610 0.250 0.111 Ce
0.995 0.750 0.111 Ce
0.390 0.750 0.889 Ce
0.005 0.250 0.889 Ce
0.820 0.750 0.676 Pb
0.180 0.250 0.324 Pb
0.301 0.250 0.612 Pr
0.699 0.750 0.388 Pr

Ce3Pr2Pb4 (PBE-GGA, relaxed); magnetization = 3.44 Bohr magnetons per cell; ΔE to the lowest computed polymorph = 0.0 meV per atom; uncorrected energy = -5.06 eV per atom
1.0
-4.832 -1.146 1.214
-0.857 -2.964 -6.211
5.172 -5.819 4.327
Pr Ce Pb
2 3 4
Direct
0.667 0.087 0.334 Pr
0.333 0.913 0.666 Pr
0.110 0.570 0.220 Ce
0.000 0.000 0.000 Ce
0.890 0.430 0.780 Ce
0.258 0.320 0.515 Pb
0.496 0.717 0.992 Pb
0.742 0.680 0.485 Pb
0.504 0.283 0.008 Pb

Ce3PrPb3 (PBE-GGA, relaxed); magnetization = 5.90 Bohr magnetons per cell; uncorrected energy = -5.08 eV per atom
1.0
5.527 0.000 0.000
0.000 9.456 0.000
0.000 -4.728 8.189
Pb Ce Pr
6 6 2
Direct
0.250 0.378 0.453 Pb
0.750 0.453 0.075 Pb
0.250 0.075 0.622 Pb
0.250 0.547 0.925 Pb
0.750 0.925 0.378 Pb
0.750 0.622 0.547 Pb
0.250 0.777 0.769 Ce
0.250 0.231 0.008 Ce
0.750 0.223 0.231 Ce
0.750 0.008 0.777 Ce
0.750 0.769 0.992 Ce
0.250 0.992 0.223 Ce
0.750 0.333 0.667 Pr
0.250 0.667 0.333 Pr

Ce2PrPb (PBE-GGA, relaxed); magnetization = 2.18 Bohr magnetons per cell; ΔE to the lowest computed polymorph = 114.1 meV per atom; uncorrected energy = -5.28 eV per atom
1.0
-1.336 2.909 2.851
-3.297 0.990 -2.555
-3.857 -4.820 3.111
Pb Ce Pr
1 2 1
Direct
0.500 0.500 0.500 Pb
0.000 0.000 0.701 Ce
0.000 0.000 0.299 Ce
0.500 0.500 0.000 Pr

CePr2Pb3 (PBE-GGA, relaxed); magnetization = 1.09 Bohr magnetons per cell; ΔE to the lowest computed polymorph = 85.0 meV per atom; uncorrected energy = -4.82 eV per atom
1.0
-4.431 -2.248 -6.257
1.965 -7.167 2.883
-5.306 4.561 3.817
Pb Pr Ce
6 4 2
Direct
0.500 0.000 0.500 Pb
0.495 0.658 0.819 Pb
0.995 0.819 0.658 Pb
0.000 0.500 0.000 Pb
0.505 0.342 0.181 Pb
0.005 0.181 0.342 Pb
0.750 0.083 0.917 Pr
0.250 0.917 0.083 Pr
0.750 0.754 0.246 Pr
0.250 0.246 0.754 Pr
0.750 0.413 0.587 Ce
0.250 0.587 0.413 Ce

Ce2Pr3Pb4 (PBE-GGA, relaxed); magnetization = 2.32 Bohr magnetons per cell; uncorrected energy = -4.96 eV per atom
1.0
-4.768 1.614 0.897
0.194 -2.927 6.295
5.329 7.184 0.831
Pr Pb Ce
3 4 2
Direct
0.886 0.423 0.772 Pr
0.114 0.577 0.228 Pr
0.000 0.000 0.000 Pr
0.747 0.694 0.493 Pb
0.495 0.714 0.989 Pb
0.505 0.286 0.011 Pb
0.253 0.306 0.507 Pb
0.664 0.084 0.328 Ce
0.336 0.916 0.672 Ce

CePr5Pb6 (PBE-GGA, relaxed); magnetization = 2.08 Bohr magnetons per cell; ΔE to the lowest computed polymorph = 0.0 meV per atom; uncorrected energy = -4.84 eV per atom
1.0
-3.448 4.006 2.620
-5.727 -4.369 -0.872
-1.807 -5.155 7.629
Pb Pr Ce
6 5 1
Direct
0.832 0.084 0.332 Pb
0.168 0.916 0.668 Pb
0.169 0.416 0.668 Pb
0.831 0.584 0.332 Pb
0.500 0.751 0.000 Pb
0.500 0.249 0.000 Pb
0.667 0.667 0.666 Pr
0.000 0.500 0.000 Pr
0.333 0.333 0.334 Pr
0.672 0.167 0.666 Pr
0.328 0.833 0.334 Pr
0.000 0.000 0.000 Ce

Ce2Pr3Pb3 (PBE-GGA, relaxed); magnetization = 6.61 Bohr magnetons per cell; uncorrected energy = -5.13 eV per atom
1.0
6.603 0.000 0.000
0.000 9.554 0.000
0.000 -4.777 8.274
Pb Pr Ce
6 6 4
Direct
0.750 0.000 0.610 Pb
0.750 0.610 0.000 Pb
0.250 0.390 0.000 Pb
0.250 0.610 0.610 Pb
0.250 0.000 0.390 Pb
0.750 0.390 0.390 Pb
0.750 0.248 0.000 Pr
0.250 0.752 0.000 Pr
0.750 0.000 0.248 Pr
0.250 0.248 0.248 Pr
0.250 0.000 0.752 Pr
0.750 0.752 0.752 Pr
0.500 0.333 0.667 Ce
0.000 0.667 0.333 Ce
0.000 0.333 0.667 Ce
0.500 0.667 0.333 Ce

Ce2PrPb9 (PBE-GGA, relaxed); magnetization = 2.06 Bohr magnetons per cell; uncorrected energy = -4.53 eV per atom
1.0
-0.074 -2.234 -4.383
4.868 -0.664 0.256
-2.128 -13.022 6.674
Pb Ce Pr
9 2 1
Direct
0.500 0.500 0.666 Pb
0.000 0.500 0.831 Pb
0.500 0.500 0.334 Pb
0.500 0.000 0.500 Pb
0.500 0.500 0.000 Pb
0.000 0.500 0.169 Pb
0.000 0.500 0.500 Pb
0.500 0.000 0.831 Pb
0.500 0.000 0.169 Pb
0.000 0.000 0.336 Ce
0.000 0.000 0.664 Ce
0.000 0.000 0.000 Pr